(1)
Below is a relaxed structure of TiCrCoRh, with properties calculated at the PBE-GGA level.

Geometry as extended XYZ:
```
4
Lattice="0.0000 3.0098 3.0098 3.0098 0.0000 3.0098 3.0098 3.0098 0.0000" Properties=species:S:1:pos:R:3 pbc="T T T"
Ti 0.0000 0.0000 0.0000
Cr 3.0098 3.0098 3.0098
Co 1.5049 1.5049 1.5049
Rh 4.5147 4.5147 4.5147
```

Values from the calculation:
* energy of formation: -0.235 eV/atom
* density of states at the Fermi level: 0.997 states/eV per atom
* SG: No. 216

---

(2)
Below is a relaxed structure of TlCrCoRh2, with properties calculated at the PBE-GGA level.

Geometry as extended XYZ:
```
5
Lattice="4.5409 0.0000 0.0000 0.0000 4.5409 0.0000 0.0000 0.0000 4.4377" Properties=species:S:1:pos:R:3 pbc="T T T"
Tl 0.0000 0.0000 0.0000
Cr 2.2705 2.2705 0.0000
Co 2.2705 2.2705 2.2188
Rh 0.0000 2.2705 2.2188
Rh 2.2705 0.0000 2.2188
```

Values from the calculation:
* energy of formation: 0.816 eV/atom
* density of states at the Fermi level: 1.242 states/eV per atom
* SG: No. 123

---

(3)
Below is a relaxed structure of VCrCoRh, with properties calculated at the PBE-GGA level.

Geometry as extended XYZ:
```
4
Lattice="0.0000 2.9666 2.9666 2.9666 0.0000 2.9666 2.9666 2.9666 0.0000" Properties=species:S:1:pos:R:3 pbc="T T T"
V 0.0000 0.0000 0.0000
Cr 2.9666 2.9666 2.9666
Co 1.4833 1.4833 1.4833
Rh 4.4499 4.4499 4.4499
```

Values from the calculation:
* energy of formation: -0.003 eV/atom
* density of states at the Fermi level: 1.003 states/eV per atom
* SG: No. 216

---

(4)
Below is a relaxed structure of Y2CrCoRh, with properties calculated at the PBE-GGA level.

Geometry as extended XYZ:
```
5
Lattice="5.1248 0.0000 0.0000 0.0000 5.1248 0.0000 0.0000 0.0000 4.0315" Properties=species:S:1:pos:R:3 pbc="T T T"
Y 0.0000 2.5624 0.0000
Y 2.5624 0.0000 0.0000
Cr 0.0000 0.0000 0.0000
Co 0.0000 0.0000 2.0157
Rh 2.5624 2.5624 2.0157
```

Values from the calculation:
* energy of formation: 0.572 eV/atom
* density of states at the Fermi level: 1.331 states/eV per atom
* SG: No. 123

---

What did the second record say?
Below is a relaxed structure of TlCrCoRh2, with properties calculated at the PBE-GGA level.

Geometry as extended XYZ:
```
5
Lattice="4.5409 0.0000 0.0000 0.0000 4.5409 0.0000 0.0000 0.0000 4.4377" Properties=species:S:1:pos:R:3 pbc="T T T"
Tl 0.0000 0.0000 0.0000
Cr 2.2705 2.2705 0.0000
Co 2.2705 2.2705 2.2188
Rh 0.0000 2.2705 2.2188
Rh 2.2705 0.0000 2.2188
```

Values from the calculation:
* energy of formation: 0.816 eV/atom
* density of states at the Fermi level: 1.242 states/eV per atom
* SG: No. 123

---

Repeat the fourth record exactly.
Below is a relaxed structure of Y2CrCoRh, with properties calculated at the PBE-GGA level.

Geometry as extended XYZ:
```
5
Lattice="5.1248 0.0000 0.0000 0.0000 5.1248 0.0000 0.0000 0.0000 4.0315" Properties=species:S:1:pos:R:3 pbc="T T T"
Y 0.0000 2.5624 0.0000
Y 2.5624 0.0000 0.0000
Cr 0.0000 0.0000 0.0000
Co 0.0000 0.0000 2.0157
Rh 2.5624 2.5624 2.0157
```

Values from the calculation:
* energy of formation: 0.572 eV/atom
* density of states at the Fermi level: 1.331 states/eV per atom
* SG: No. 123

---

What did the fourth record say?
Below is a relaxed structure of Y2CrCoRh, with properties calculated at the PBE-GGA level.

Geometry as extended XYZ:
```
5
Lattice="5.1248 0.0000 0.0000 0.0000 5.1248 0.0000 0.0000 0.0000 4.0315" Properties=species:S:1:pos:R:3 pbc="T T T"
Y 0.0000 2.5624 0.0000
Y 2.5624 0.0000 0.0000
Cr 0.0000 0.0000 0.0000
Co 0.0000 0.0000 2.0157
Rh 2.5624 2.5624 2.0157
```

Values from the calculation:
* energy of formation: 0.572 eV/atom
* density of states at the Fermi level: 1.331 states/eV per atom
* SG: No. 123

---

> What is the energy of formation in the second record?

0.816 eV/atom